CrHgSeF2 | GGA+U | optimized geometry

## Properties
Total DFT energy (no corrections) = -4.536 eV per atom
Total magnetic moment = 3.51 μB/f.u.
Crystal system = tetragonal
DOS(E_F) = 2.1 states/eV/f.u.
Density = 6.72 g/cm3

Cell lengths 3.9976, 3.9976, 5.7134 Å; angles 90.00, 90.00, 90.00 degrees
Closest atoms and distances in Å follow each position.
Fractional coordinates of all 5 atoms:
Cr 0.0000 0.0000 0.0000  4 F 2.00
Hg 0.5000 0.5000 0.5000  4 Se 2.83
Se 0.0000 0.0000 0.5000  4 Hg 2.83, 2 Cr 2.86
F 0.0000 0.5000 0.0000  2 Cr 2.00
F 0.5000 0.0000 0.0000  2 Cr 2.00